! GGA-PBE LiGe, relaxed; values from VASP
&SYSTEM
  ibrav = 0, nat = 2, ntyp = 2
/
ATOMIC_SPECIES
Ge 72.64 Ge.upf
Li 6.94 Li.upf
CELL_PARAMETERS angstrom
2.742 0.000 0.000
0.000 2.742 0.000
0.000 0.000 4.202
ATOMIC_POSITIONS crystal
Ge 0.000 0.000 0.500
Li 0.500 0.500 0.000
! Electronic total energy   -3.56 eV per atom
! Energy of formation   -297 meV/atom

! GGA-PBE ZrScTiNb, relaxed; values from VASP
&SYSTEM
  ibrav = 0, nat = 4, ntyp = 4
/
ATOMIC_SPECIES
Sc 44.96 Sc.upf
Ti 47.87 Ti.upf
Zr 91.22 Zr.upf
Nb 92.91 Nb.upf
CELL_PARAMETERS angstrom
-2.655 -0.945 -3.943
2.149 -0.425 -4.323
0.300 -4.338 -2.141
ATOMIC_POSITIONS crystal
Sc 0.750 0.750 0.750
Ti 0.000 0.000 0.000
Zr 0.500 0.500 0.500
Nb 0.250 0.250 0.250
! Electronic total energy   -8.08 eV per atom
! Energy of formation   129 meV/atom

! GGA-PBE Ru2IBr, relaxed; values from VASP
&SYSTEM
  ibrav = 0, nat = 8, ntyp = 3
/
ATOMIC_SPECIES
Ru 101.07 Ru.upf
I 126.90 I.upf
Br 79.90 Br.upf
CELL_PARAMETERS angstrom
3.709 0.021 -0.001
-0.704 5.954 0.000
-1.458 -3.010 9.117
ATOMIC_POSITIONS crystal
Ru 0.229 0.413 0.583
Ru 0.757 0.272 0.725
Ru 0.372 0.560 0.874
Ru 0.841 0.696 0.725
I 0.376 0.069 0.890
I 0.980 0.672 0.095
Br 0.629 0.309 0.378
Br 0.703 0.887 0.533
! Electronic total energy   -5.20 eV per atom
! Polymorph energy (0 for the lowest one)   22 meV per atom
! Formation energy without anion corrections   1.0 eV/f.u.

! GGA-PBE MgZr6O12, relaxed; values from VASP
&SYSTEM
  ibrav = 0, nat = 19, ntyp = 3
/
ATOMIC_SPECIES
O 16.00 O.upf
Zr 91.22 Zr.upf
Mg 24.30 Mg.upf
CELL_PARAMETERS angstrom
6.128 0.117 -1.166
-1.430 5.960 -1.166
0.091 0.117 6.238
ATOMIC_POSITIONS crystal
O 0.822 0.434 0.572
O 0.321 0.938 0.073
O 0.428 0.178 0.566
O 0.566 0.428 0.178
O 0.679 0.062 0.927
O 0.927 0.679 0.062
O 0.178 0.566 0.428
O 0.434 0.572 0.822
O 0.062 0.927 0.679
O 0.938 0.073 0.321
O 0.572 0.822 0.434
O 0.073 0.321 0.938
Zr 0.703 0.385 0.863
Zr 0.297 0.615 0.137
Zr 0.615 0.137 0.297
Zr 0.137 0.297 0.615
Zr 0.863 0.703 0.385
Zr 0.385 0.863 0.703
Mg 0.000 0.000 0.000
! Electronic total energy   -9.07 eV per atom
! Formation energy without anion corrections   -59.9 eV/f.u.

! GGA-PBE Nd4SmHo3Se8, relaxed; values from VASP
&SYSTEM
  ibrav = 0, nat = 16, ntyp = 4
/
ATOMIC_SPECIES
Nd 144.24 Nd.upf
Se 78.96 Se.upf
Ho 164.93 Ho.upf
Sm 150.36 Sm.upf
CELL_PARAMETERS angstrom
8.244 0.000 0.000
0.000 8.397 0.100
-4.122 -4.119 5.833
ATOMIC_POSITIONS crystal
Nd 0.000 0.000 0.500
Nd 0.500 0.000 0.500
Nd 0.500 0.000 0.000
Nd 0.000 0.000 0.000
Se 0.752 0.264 0.504
Se 0.740 0.737 0.988
Se 0.744 0.733 0.488
Se 0.752 0.263 0.012
Se 0.248 0.737 0.988
Se 0.248 0.736 0.496
Se 0.256 0.267 0.512
Se 0.260 0.263 0.012
Ho 0.500 0.500 0.500
Ho 0.500 0.500 0.000
Ho 0.000 0.500 0.500
Sm 0.000 0.500 0.000
! Electronic total energy   -5.88 eV per atom
! Formation energy without anion corrections   -28.7 eV/f.u.

! GGA-PBE CsNpP2S8, relaxed; values from VASP
&SYSTEM
  ibrav = 0, nat = 12, ntyp = 4
/
ATOMIC_SPECIES
Np 237.00 Np.upf
S 32.06 S.upf
P 30.97 P.upf
Cs 132.91 Cs.upf
CELL_PARAMETERS angstrom
6.215 0.000 0.000
3.107 5.382 0.000
3.107 1.794 10.293
ATOMIC_POSITIONS crystal
Np 0.000 0.000 0.000
S 0.404 0.707 0.852
S 0.707 0.037 0.852
S 0.037 0.404 0.852
S 0.963 0.596 0.148
S 0.197 0.197 0.408
S 0.803 0.803 0.592
S 0.293 0.963 0.148
S 0.596 0.293 0.148
P 0.739 0.739 0.783
P 0.261 0.261 0.217
Cs 0.500 0.500 0.500
! Electronic total energy   -5.38 eV per atom
! Formation energy without anion corrections   -6.9 eV/f.u.

! GGA-PBE NbZnBiH2, relaxed; values from VASP
&SYSTEM
  ibrav = 0, nat = 5, ntyp = 4
/
ATOMIC_SPECIES
H 1.01 H.upf
Zn 65.41 Zn.upf
Bi 208.98 Bi.upf
Nb 92.91 Nb.upf
CELL_PARAMETERS angstrom
-2.694 2.840 -0.503
-1.774 -0.725 5.410
2.614 2.694 1.218
ATOMIC_POSITIONS crystal
H 0.500 0.000 0.000
H 0.000 0.000 0.500
Zn 0.500 0.500 0.500
Bi 0.000 0.500 0.000
Nb 0.000 0.000 0.000
! Electronic total energy   -3.93 eV per atom

Question: What is the electronic total energy in the first record?
Answer: -3.56 eV per atom

Question: Which value of electronic total energy does entry 2 give?
Answer: -8.08 eV per atom

Question: Which of these has the lowest electronic total energy?
Answer: MgZr6O12

Question: The lowest electronic total energy belongs to which entry?
Answer: MgZr6O12